Below is a geometry-optimized AcTaCr2O6 structure, with properties calculated at the PBE with a Hubbard U level.

```
AcTaCr2O6
1.0
5.565 0.000 0.000
2.631 4.910 0.000
2.694 1.208 5.024
Ac Ta Cr O
1 1 2 6
Cartesian
0.000 0.000 0.000
5.436 3.024 2.851
2.724 1.638 0.856
8.195 4.544 3.281
4.024 3.148 4.384
4.411 4.507 2.094
6.455 4.187 4.206
4.573 1.575 1.857
5.998 1.500 4.236
7.234 3.105 1.970
```

V	137.3	Å³/f.u.
E_tot	-8.531	eV per atom
calculated density	7.35	g cm⁻³
SG	P1 (1)